A plane-wave DFT calculation with meta-GGA SCAN was carried out for a crystal of AlCuN2F relaxed with PBEsol.

POSCAR file:
```
AlCuN2F
1.0
-0.223 1.593 -3.300
-3.648 -0.840 -0.159
-0.824 3.269 1.634
N Cu F Al
2 1 1 1
Direct
0.000 0.000 0.500 N
0.000 0.500 0.000 N
0.000 0.000 0.000 Cu
0.500 0.000 0.000 F
0.500 0.500 0.500 Al
```

N(E_F)	0.4534	states/eV per atom
M_tot	0.002	μB/atom
E_tot	-8.427	eV per atom